This record from the Alexandria database describes a relaxed structure of KCu2Cl. The functional is PBE.

Results
- energy relative to the elements, uncorrected (eV per atom) = 0.4048
- distance to the lowest polymorph of the same formula (meV/atom) = 686
- E (eV per atom) = -2.379
- ρ (g/cm³) = 3.8

Geometry as POSCAR:
```
KCu2Cl
1.0
1.6767 0.9680 9.1232
-1.6767 0.9680 9.1232
0.0000 -1.9361 9.1232
K Cu Cl
1 2 1
Direct
0.0000 0.0000 0.0000
0.2302 0.2302 0.2302
0.7698 0.7698 0.7698
0.5000 0.5000 0.5000
```

This record from the Alexandria database describes a relaxed structure of K2CuCl. The functional is PBE.

Results
- energy relative to the elements, uncorrected (eV per atom) = -0.6804
- distance to the lowest polymorph of the same formula (meV/atom) = 19
- E (eV per atom) = -2.715
- ρ (g/cm³) = 2.1

Geometry as POSCAR:
```
K2CuCl
1.0
4.6221 0.0000 0.0000
0.0000 4.6221 0.0000
0.0000 0.0000 6.5772
K Cu Cl
2 1 1
Direct
0.0000 0.0000 0.0000
0.5000 0.5000 0.5000
0.0000 0.0000 0.5000
0.5000 0.5000 0.0000
```

This record from the Alexandria database describes a relaxed structure of K3Cu2Cl8. The functional is PBE.

Results
- energy relative to the elements, uncorrected (eV per atom) = -1.0897
- E (eV per atom) = -3.110
- ρ (g/cm³) = 2.4

Geometry as POSCAR:
```
K3Cu2Cl8
1.0
3.4334 1.9823 9.0722
-3.4334 1.9823 9.0722
0.0000 -3.9645 9.0722
K Cu Cl
3 2 8
Direct
0.0000 0.0000 0.0000
0.2071 0.2071 0.2071
0.7929 0.7929 0.7929
0.4025 0.4025 0.4025
0.5975 0.5975 0.5975
0.2211 0.7354 0.7354
0.2646 0.2646 0.7789
0.2646 0.7789 0.2646
0.3213 0.3213 0.3213
0.6787 0.6787 0.6787
0.7354 0.2211 0.7354
0.7354 0.7354 0.2211
0.7789 0.2646 0.2646
```